# 1
Computed, not measured: IrPdAu2 after structural relaxation at the PBE level of DFT.

Unit cell a=4.539 b=4.539 c=4.539 alpha=60.00 beta=60.00 gamma=60.00
Sites, in units of the cell vectors:
Ir (0.000, 0.000, 0.000)
Pd (0.500, 0.500, 0.500)
Au (0.250, 0.250, 0.250)
Au (0.750, 0.750, 0.750)

Output
The density of states at the Fermi level is 1.6243 states/eV per atom. For the calculated volume, the calculation gives 66.1 Å³ per cell. The space group is Fm-3m. Its formation enthalpy at 0 K is 343.4 meV per atom. Its polymorph energy (0 for the lowest one) is 0.002 eV per atom. Its magnetic moment is 0.77 μB per cell.

***

# 2
Computed, not measured: IrPdAu3 after structural relaxation at the PBE level of DFT.

Unit cell a=4.989 b=4.989 c=4.989 alpha=90.00 beta=90.00 gamma=90.00
Sites, in units of the cell vectors:
Ir (0.000, 0.000, 0.000)
Pd (0.500, 0.500, 0.500)
Au (0.000, 0.000, 0.500)
Au (0.000, 0.500, 0.000)
Au (0.500, 0.000, 0.000)

Output
The density of states at the Fermi level is 1.6112 states/eV per atom. For the calculated volume, the calculation gives 124.2 Å³ per cell. The space group is Pm-3m. Its formation enthalpy at 0 K is 1239.4 meV per atom. Its polymorph energy (0 for the lowest one) is 0.000 eV per atom. Its magnetic moment is 0.00 μB per cell.

***

# 3
Computed, not measured: Ir2PdAu after structural relaxation at the PBE level of DFT.

Unit cell a=5.738 b=5.738 c=5.738 alpha=102.10 beta=102.10 gamma=125.49
Sites, in units of the cell vectors:
Ir (0.118, 0.625, 0.993)
Ir (0.375, 0.368, 0.493)
Ir (0.632, 0.125, 0.007)
Ir (0.875, 0.882, 0.507)
Pd (0.000, 0.000, 0.000)
Pd (0.750, 0.250, 0.500)
Au (0.250, 0.750, 0.500)
Au (0.500, 0.500, 0.000)

Output
The density of states at the Fermi level is 1.3101 states/eV per atom. For the calculated volume, the calculation gives 136.8 Å³ per cell. The space group is I-42d. Its formation enthalpy at 0 K is 819.8 meV per atom. Its polymorph energy (0 for the lowest one) is 0.279 eV per atom. Its magnetic moment is 0.00 μB per cell.

***

# 4
Computed, not measured: IrPdPt2Au after structural relaxation at the PBE level of DFT.

Unit cell a=4.794 b=4.794 c=4.883 alpha=90.00 beta=90.00 gamma=90.00
Sites, in units of the cell vectors:
Ir (0.000, 0.000, 0.000)
Pd (0.000, 0.000, 0.500)
Pt (0.000, 0.500, 0.000)
Pt (0.500, 0.000, 0.000)
Au (0.500, 0.500, 0.500)

Output
The density of states at the Fermi level is 1.6893 states/eV per atom. For the calculated volume, the calculation gives 112.2 Å³ per cell. The space group is P4/mmm. Its formation enthalpy at 0 K is 1295.4 meV per atom. Its magnetic moment is 0.00 μB per cell.

***

# 5
Computed, not measured: PuIrPdAu after structural relaxation at the PBE level of DFT.

Unit cell a=4.706 b=4.706 c=4.706 alpha=60.00 beta=60.00 gamma=60.00
Sites, in units of the cell vectors:
Pu (0.000, 0.000, 0.000)
Ir (0.750, 0.750, 0.750)
Pd (0.250, 0.250, 0.250)
Au (0.500, 0.500, 0.500)

Output
The density of states at the Fermi level is 1.7830 states/eV per atom. For the calculated volume, the calculation gives 73.7 Å³ per cell. The space group is F-43m. Its formation enthalpy at 0 K is -263.8 meV per atom. Its magnetic moment is 4.37 μB per cell.

***

# 6
Computed, not measured: Si2IrPdAu after structural relaxation at the PBE level of DFT.

Unit cell a=4.468 b=4.468 c=5.274 alpha=90.00 beta=90.00 gamma=90.00
Sites, in units of the cell vectors:
Si (0.000, 0.500, 0.000)
Si (0.500, 0.000, 0.000)
Ir (0.000, 0.000, 0.000)
Pd (0.500, 0.500, 0.500)
Au (0.000, 0.000, 0.500)

Output
The density of states at the Fermi level is 0.3690 states/eV per atom. For the calculated volume, the calculation gives 105.3 Å³ per cell. The space group is P4/mmm. Its magnetic moment is 0.00 μB per cell. Its uncorrected formation energy is 0.419 eV per atom.

***

# 7
Computed, not measured: SnIrPdAu after structural relaxation at the PBE level of DFT.

Unit cell a=4.589 b=4.589 c=4.589 alpha=60.00 beta=60.00 gamma=60.00
Sites, in units of the cell vectors:
Sn (0.000, 0.000, 0.000)
Ir (0.750, 0.750, 0.750)
Pd (0.250, 0.250, 0.250)
Au (0.500, 0.500, 0.500)

Output
The density of states at the Fermi level is 1.0151 states/eV per atom. For the calculated volume, the calculation gives 68.3 Å³ per cell. The space group is F-43m. Its formation enthalpy at 0 K is -84.4 meV per atom. Its magnetic moment is 0.00 μB per cell.

***

# 8
Computed, not measured: SnIr2PdAu after structural relaxation at the PBE level of DFT.

Unit cell a=4.839 b=4.839 c=4.875 alpha=90.00 beta=90.00 gamma=90.00
Sites, in units of the cell vectors:
Sn (0.000, 0.000, 0.000)
Ir (0.000, 0.500, 0.500)
Ir (0.500, 0.000, 0.500)
Pd (0.000, 0.000, 0.500)
Au (0.500, 0.500, 0.000)

Output
The density of states at the Fermi level is 1.4107 states/eV per atom. For the calculated volume, the calculation gives 114.2 Å³ per cell. The space group is P4/mmm. Its formation enthalpy at 0 K is 1501.8 meV per atom. Its magnetic moment is 1.61 μB per cell.

***

# 9
Computed, not measured: IrPdW2Au after structural relaxation at the PBE level of DFT.

Unit cell a=4.782 b=4.782 c=4.848 alpha=90.00 beta=90.00 gamma=90.00
Sites, in units of the cell vectors:
Ir (0.000, 0.000, 0.000)
Pd (0.500, 0.500, 0.000)
W (0.000, 0.500, 0.500)
W (0.500, 0.000, 0.500)
Au (0.000, 0.000, 0.500)

Output
The density of states at the Fermi level is 1.2139 states/eV per atom. For the calculated volume, the calculation gives 110.9 Å³ per cell. The space group is P4/mmm. Its formation enthalpy at 0 K is 2550.5 meV per atom. Its magnetic moment is 0.00 μB per cell.

***

# 10
Computed, not measured: YIrPdAu2 after structural relaxation at the PBE level of DFT.

Unit cell a=5.025 b=5.025 c=4.830 alpha=90.00 beta=90.00 gamma=90.00
Sites, in units of the cell vectors:
Y (0.000, 0.000, 0.000)
Ir (0.500, 0.500, 0.500)
Pd (0.500, 0.500, 0.000)
Au (0.000, 0.500, 0.500)
Au (0.500, 0.000, 0.500)

Output
The density of states at the Fermi level is 1.1056 states/eV per atom. For the calculated volume, the calculation gives 122.0 Å³ per cell. The space group is P4/mmm. Its formation enthalpy at 0 K is 371.3 meV per atom. Its magnetic moment is 0.00 μB per cell.

***

# 11
Computed, not measured: ZrIrPd2Au after structural relaxation at the PBE level of DFT.

Unit cell a=4.778 b=4.778 c=4.978 alpha=90.00 beta=90.00 gamma=90.00
Sites, in units of the cell vectors:
Zr (0.000, 0.000, 0.000)
Ir (0.500, 0.500, 0.500)
Pd (0.000, 0.500, 0.500)
Pd (0.500, 0.000, 0.500)
Au (0.500, 0.500, 0.000)

Output
The density of states at the Fermi level is 1.9731 states/eV per atom. For the calculated volume, the calculation gives 113.6 Å³ per cell. The space group is P4/mmm. Its formation enthalpy at 0 K is 944.4 meV per atom. Its magnetic moment is 0.00 μB per cell.

***

# 12
Computed, not measured: Pm2IrAu after structural relaxation at the PBE level of DFT.

Unit cell a=5.094 b=5.094 c=5.094 alpha=60.00 beta=60.00 gamma=60.00
Sites, in units of the cell vectors:
Pm (0.250, 0.250, 0.250)
Pm (0.750, 0.750, 0.750)
Ir (0.000, 0.000, 0.000)
Au (0.500, 0.500, 0.500)

Output
The density of states at the Fermi level is 0.7400 states/eV per atom. For the calculated volume, the calculation gives 93.5 Å³ per cell. The space group is Fm-3m. Its formation enthalpy at 0 K is -701.7 meV per atom. Its polymorph energy (0 for the lowest one) is 0.076 eV per atom. Its magnetic moment is 0.00 μB per cell.

***

# 13
Computed, not measured: Pm6Ir2Au after structural relaxation at the PBE level of DFT.

Unit cell a=6.865 b=7.328 c=12.015 alpha=90.00 beta=119.22 gamma=90.00
Sites, in units of the cell vectors:
Pm (0.082, 0.183, 0.428)
Pm (0.082, 0.317, 0.928)
Pm (0.223, 0.662, 0.410)
Pm (0.223, 0.838, 0.910)
Pm (0.413, 0.053, 0.237)
Pm (0.413, 0.447, 0.737)
Pm (0.587, 0.553, 0.263)
Pm (0.587, 0.947, 0.763)
Pm (0.777, 0.162, 0.090)
Pm (0.777, 0.338, 0.590)
Pm (0.918, 0.683, 0.072)
Pm (0.918, 0.817, 0.572)
Ir (0.172, 0.118, 0.721)
Ir (0.172, 0.382, 0.221)
Ir (0.828, 0.618, 0.779)
Ir (0.828, 0.882, 0.279)
Au (0.500, 0.000, 0.500)
Au (0.500, 0.500, 0.000)

Output
The density of states at the Fermi level is 1.0029 states/eV per atom. For the calculated volume, the calculation gives 527.5 Å³ per cell. The space group is P2_1/c. Its formation enthalpy at 0 K is -492.3 meV per atom. Its magnetic moment is 0.00 μB per cell.

***

# 14
Computed, not measured: Pm8Ir3Au2 after structural relaxation at the PBE level of DFT.

Unit cell a=8.814 b=4.957 c=8.830 alpha=90.00 beta=109.85 gamma=90.00
Sites, in units of the cell vectors:
Pm (0.117, 0.000, 0.384)
Pm (0.137, 0.500, 0.873)
Pm (0.373, 0.500, 0.637)
Pm (0.382, 0.000, 0.118)
Pm (0.618, 0.000, 0.882)
Pm (0.627, 0.500, 0.363)
Pm (0.863, 0.500, 0.127)
Pm (0.883, 0.000, 0.616)
Ir (0.244, 0.000, 0.744)
Ir (0.500, 0.500, 0.000)
Ir (0.756, 0.000, 0.256)
Au (0.242, 0.500, 0.259)
Au (0.758, 0.500, 0.741)

Output
The density of states at the Fermi level is 1.1997 states/eV per atom. For the calculated volume, the calculation gives 362.9 Å³ per cell. The space group is P2/m. Its formation enthalpy at 0 K is -555.1 meV per atom. Its magnetic moment is 0.00 μB per cell.

***

# 15
Computed, not measured: Pm12Ir5Au2 after structural relaxation at the PBE level of DFT.

Unit cell a=9.038 b=9.038 c=9.344 alpha=103.86 beta=103.86 gamma=47.78
Sites, in units of the cell vectors:
Pm (0.001, 0.001, 0.276)
Pm (0.057, 0.579, 0.890)
Pm (0.100, 0.593, 0.440)
Pm (0.407, 0.900, 0.560)
Pm (0.421, 0.943, 0.110)
Pm (0.462, 0.462, 0.199)
Pm (0.538, 0.538, 0.801)
Pm (0.579, 0.057, 0.890)
Pm (0.593, 0.100, 0.440)
Pm (0.900, 0.407, 0.560)
Pm (0.943, 0.421, 0.110)
Pm (0.999, 0.999, 0.724)
Ir (0.178, 0.178, 0.834)
Ir (0.199, 0.199, 0.356)
Ir (0.500, 0.500, 0.500)
Ir (0.801, 0.801, 0.644)
Ir (0.822, 0.822, 0.166)
Au (0.208, 0.792, 0.000)
Au (0.792, 0.208, 0.000)

Output
The density of states at the Fermi level is 0.7910 states/eV per atom. For the calculated volume, the calculation gives 545.5 Å³ per cell. The space group is C2/m. Its formation enthalpy at 0 K is -522.1 meV per atom. Its magnetic moment is 0.00 μB per cell.

***

# 16
Computed, not measured: Pm2IrAu after structural relaxation at the PBE level of DFT.

Unit cell a=5.862 b=4.523 c=7.899 alpha=90.00 beta=110.91 gamma=90.00
Sites, in units of the cell vectors:
Pm (0.213, 0.250, 0.439)
Pm (0.235, 0.250, 0.922)
Pm (0.765, 0.750, 0.078)
Pm (0.787, 0.750, 0.561)
Ir (0.330, 0.750, 0.710)
Ir (0.670, 0.250, 0.290)
Au (0.322, 0.750, 0.209)
Au (0.678, 0.250, 0.791)

Output
The density of states at the Fermi level is 0.6934 states/eV per atom. For the calculated volume, the calculation gives 195.6 Å³ per cell. The space group is P2_1/m. Its formation enthalpy at 0 K is -777.5 meV per atom. Its polymorph energy (0 for the lowest one) is 0.000 eV per atom. Its magnetic moment is 0.00 μB per cell.

***

# 17
Computed, not measured: PmIrAu after structural relaxation at the PBE level of DFT.

Unit cell a=11.252 b=11.252 c=11.252 alpha=161.64 beta=161.64 gamma=26.08
Sites, in units of the cell vectors:
Pm (0.140, 0.140, 0.000)
Pm (0.860, 0.860, 0.000)
Ir (0.268, 0.268, 0.000)
Ir (0.732, 0.732, 0.000)
Au (0.438, 0.438, 0.000)
Au (0.562, 0.562, 0.000)

Output
The density of states at the Fermi level is 0.8212 states/eV per atom. For the calculated volume, the calculation gives 141.3 Å³ per cell. The space group is I4/mmm. Its formation enthalpy at 0 K is -327.6 meV per atom. Its polymorph energy (0 for the lowest one) is 0.102 eV per atom. Its magnetic moment is 0.00 μB per cell.

***

# 18
Computed, not measured: PmIr4Au after structural relaxation at the PBE level of DFT.

Unit cell a=5.327 b=5.327 c=5.327 alpha=60.00 beta=60.00 gamma=60.00
Sites, in units of the cell vectors:
Pm (0.000, 0.000, 0.000)
Ir (0.375, 0.375, 0.375)
Ir (0.375, 0.375, 0.874)
Ir (0.375, 0.874, 0.375)
Ir (0.874, 0.375, 0.375)
Au (0.750, 0.750, 0.750)

Output
The density of states at the Fermi level is 1.2363 states/eV per atom. For the calculated volume, the calculation gives 106.9 Å³ per cell. The space group is F-43m. Its formation enthalpy at 0 K is -199.9 meV per atom. Its magnetic moment is 0.00 μB per cell.

***

# 19
Computed, not measured: Pm2IrAu after structural relaxation at the PBE level of DFT.

Unit cell a=3.604 b=3.604 c=7.248 alpha=90.00 beta=90.00 gamma=90.00
Sites, in units of the cell vectors:
Pm (0.000, 0.000, 0.233)
Pm (0.000, 0.000, 0.767)
Ir (0.500, 0.500, 0.000)
Au (0.500, 0.500, 0.500)

Output
The density of states at the Fermi level is 0.7552 states/eV per atom. For the calculated volume, the calculation gives 94.1 Å³ per cell. The space group is P4/mmm. Its formation enthalpy at 0 K is -716.8 meV per atom. Its polymorph energy (0 for the lowest one) is 0.061 eV per atom. Its magnetic moment is 0.00 μB per cell.

***

# 20
Computed, not measured: PmIrAu after structural relaxation at the PBE level of DFT.

Unit cell a=5.363 b=5.363 c=5.363 alpha=140.11 beta=140.11 gamma=57.68
Sites, in units of the cell vectors:
Pm (0.000, 0.000, 0.000)
Ir (0.662, 0.662, 0.000)
Au (0.318, 0.318, 0.000)

Output
The density of states at the Fermi level is 0.8874 states/eV per atom. For the calculated volume, the calculation gives 62.9 Å³ per cell. The space group is I4mm. Its formation enthalpy at 0 K is -327.1 meV per atom. Its polymorph energy (0 for the lowest one) is 0.102 eV per atom. Its magnetic moment is 0.00 μB per cell.